VASP calculation (GGA-PBE) on a relaxed structure of Zr2AlGa2.

Geometry as extended XYZ:
```
10
Lattice="6.760 0.000 0.000 0.000 6.760 0.000 0.000 0.000 4.066" Properties=species:S:1:pos:R:3 pbc="T T T"
Zr 1.193 2.187 0.000
Zr 2.187 5.567 0.000
Zr 4.573 1.193 0.000
Zr 5.567 4.573 0.000
Al 0.000 0.000 2.033
Al 3.380 3.380 2.033
Ga 0.868 4.248 2.033
Ga 2.512 0.868 2.033
Ga 4.248 5.892 2.033
Ga 5.892 2.512 2.033
```

Summary:
Space group: P4/mbm (127)
Energy relative to the lowest polymorph listed for this composition, meV per atom: 26

---

VASP calculation (GGA-PBE) on a relaxed structure of Zr3Al3Ga.

Geometry as extended XYZ:
```
14
Lattice="5.189 -1.983 0.000 5.189 1.983 0.000 -4.329 0.000 13.125" Properties=species:S:1:pos:R:3 pbc="T T T"
Zr -1.528 0.000 4.892
Zr -2.840 0.000 12.144
Zr 1.473 0.000 3.003
Zr 4.577 0.000 10.121
Zr 8.890 0.000 0.981
Zr 7.578 0.000 8.232
Al 1.804 0.000 6.041
Al 0.029 0.000 12.134
Al 1.737 0.000 10.211
Al 4.313 0.000 2.913
Al 6.021 0.000 0.991
Al 4.246 0.000 7.084
Ga 0.168 0.000 8.211
Ga 5.882 0.000 4.914
```

Summary:
Space group: C2/m (12)

---

VASP calculation (GGA-PBE) on a relaxed structure of Zr2Al3Ga.

Geometry as extended XYZ:
```
6
Lattice="2.657 1.534 4.316 -2.657 1.534 4.316 0.000 -3.068 4.316" Properties=species:S:1:pos:R:3 pbc="T T T"
Zr 0.000 0.000 1.599
Zr 0.000 0.000 11.349
Al -1.328 -0.767 4.316
Al -1.328 0.767 8.632
Al 0.000 1.534 4.316
Ga 0.000 0.000 6.474
```

Summary:
Space group: R-3m (166)

---

VASP calculation (GGA-PBE) on a relaxed structure of Zr2Al15Ga2.

Geometry as extended XYZ:
```
19
Lattice="4.761 2.749 4.509 -4.761 2.749 4.509 0.000 -5.498 4.509" Properties=species:S:1:pos:R:3 pbc="T T T"
Zr 0.000 0.000 1.521
Zr 0.000 0.000 12.007
Al -4.761 0.000 6.764
Al -1.348 -3.164 4.509
Al -2.381 1.374 2.255
Al -3.414 0.415 4.509
Al -2.305 -1.331 6.404
Al 1.348 -3.164 4.509
Al -2.066 2.749 4.509
Al 0.000 -2.662 7.123
Al -2.305 1.331 7.123
Al 2.381 1.375 2.255
Al 2.305 -1.331 6.404
Al 0.000 2.662 6.404
Al 3.414 0.415 4.509
Al 2.066 2.749 4.509
Al 2.305 1.331 7.123
Ga 0.000 0.000 4.609
Ga 0.000 0.000 8.919
```

Summary:
Space group: R-3m (166)

---

VASP calculation (GGA-PBE) on a relaxed structure of Zr5AlGa2.

Geometry as extended XYZ:
```
16
Lattice="-3.644 3.644 6.212 3.644 -3.644 6.212 3.644 3.644 -6.212" Properties=species:S:1:pos:R:3 pbc="T T T"
Zr 0.000 0.000 0.000
Zr 4.811 1.167 -1.903
Zr 1.167 2.477 -1.903
Zr 4.811 1.167 1.903
Zr 1.167 2.477 1.903
Zr 0.000 0.000 6.212
Zr 2.477 1.167 4.310
Zr -1.167 2.477 4.310
Zr 2.477 1.167 8.115
Zr -1.167 2.477 8.115
Al 0.000 0.000 3.106
Al 0.000 0.000 9.319
Ga 2.661 0.983 0.000
Ga 2.661 -0.983 6.212
Ga 0.983 4.627 0.000
Ga 0.983 2.661 6.212
```

Summary:
Space group: I4/mcm (140)

---

VASP calculation (GGA-PBE) on a relaxed structure of ZrAlGa3.

Geometry as extended XYZ:
```
5
Lattice="5.268 0.000 0.000 0.000 5.268 0.000 0.000 0.000 5.268" Properties=species:S:1:pos:R:3 pbc="T T T"
Zr 0.000 0.000 0.000
Al 2.634 2.634 2.634
Ga 0.000 0.000 2.634
Ga 0.000 2.634 0.000
Ga 2.634 0.000 0.000
```

Summary:
Space group: Pm-3m (221)
Energy relative to the lowest polymorph listed for this composition, meV per atom: 803

---

VASP calculation (GGA-PBE) on a relaxed structure of Zr6AlGa2.

Geometry as extended XYZ:
```
18
Lattice="5.388 0.000 0.000 0.000 7.991 0.000 -4.551 0.000 8.847" Properties=species:S:1:pos:R:3 pbc="T T T"
Zr -1.848 1.321 3.857
Zr -4.123 2.674 8.281
Zr 0.015 5.453 3.885
Zr -2.260 6.533 8.308
Zr 0.807 0.225 2.687
Zr -1.469 3.770 7.110
Zr 2.306 4.221 1.737
Zr 0.031 7.765 6.161
Zr 3.098 1.458 0.539
Zr 0.822 2.538 4.963
Zr 4.961 5.317 0.566
Zr 2.685 6.670 4.990
Al 0.000 0.000 0.000
Al -2.275 3.995 4.424
Ga -2.541 1.011 6.688
Ga -0.266 2.984 2.264
Ga 1.103 5.006 6.583
Ga 3.378 6.980 2.159
```

Summary:
Space group: P2_1/c (14)

---

VASP calculation (GGA-PBE) on a relaxed structure of Zr3AlGa2.

Geometry as extended XYZ:
```
12
Lattice="7.423 -2.858 0.000 7.423 2.858 0.000 -1.233 0.000 5.486" Properties=species:S:1:pos:R:3 pbc="T T T"
Zr 6.499 2.120 4.115
Zr 4.413 0.717 2.229
Zr 3.796 -0.717 4.972
Zr 9.818 0.717 0.514
Zr 9.201 -0.717 3.257
Zr 7.115 -2.120 1.372
Al 7.115 0.713 1.372
Al 6.499 -0.713 4.115
Ga 2.347 0.695 0.273
Ga 1.731 -0.695 3.016
Ga 11.883 0.695 2.470
Ga 11.266 -0.695 5.213
```

Summary:
Space group: C2/c (15)
Energy relative to the lowest polymorph listed for this composition, meV per atom: 35

---

VASP calculation (GGA-PBE) on a relaxed structure of ZrAlGa3.

Geometry as extended XYZ:
```
10
Lattice="5.402 0.000 0.000 0.000 5.439 0.000 -1.517 0.000 6.439" Properties=species:S:1:pos:R:3 pbc="T T T"
Zr 0.903 1.360 0.030
Zr 2.982 4.080 6.409
Al 0.427 4.080 4.801
Al 3.458 1.360 1.638
Ga 0.360 0.050 2.511
Ga 0.360 2.670 2.511
Ga 1.906 4.080 0.953
Ga 1.979 1.360 5.486
Ga 3.524 2.769 3.928
Ga 3.524 5.390 3.928
```

Summary:
Space group: P2_1/m (11)
Energy relative to the lowest polymorph listed for this composition, meV per atom: 0

---

VASP calculation (GGA-PBE) on a relaxed structure of Zr2AlGa2.

Geometry as extended XYZ:
```
10
Lattice="5.224 -1.988 0.000 5.224 1.988 0.000 -4.338 0.000 8.947" Properties=species:S:1:pos:R:3 pbc="T T T"
Zr -0.652 0.000 1.616
Zr -0.642 0.000 5.457
Zr 6.753 0.000 3.490
Zr 6.763 0.000 7.331
Al 2.335 0.000 1.525
Al 3.776 0.000 7.422
Ga -0.280 0.000 8.410
Ga 2.200 0.000 5.394
Ga 3.911 0.000 3.553
Ga 6.390 0.000 0.537
```

Summary:
Space group: C2/m (12)
Energy relative to the lowest polymorph listed for this composition, meV per atom: 0

---

VASP calculation (GGA-PBE) on a relaxed structure of ZrAl3Ga.

Geometry as extended XYZ:
```
5
Lattice="4.738 0.000 0.000 0.000 4.738 0.000 0.000 0.000 4.738" Properties=species:S:1:pos:R:3 pbc="T T T"
Zr 0.000 0.000 0.000
Al 0.000 2.369 2.369
Al 2.369 0.000 2.369
Al 2.369 2.369 0.000
Ga 2.369 2.369 2.369
```

Summary:
Space group: Pm-3m (221)
Energy relative to the lowest polymorph listed for this composition, meV per atom: 849

---

VASP calculation (GGA-PBE) on a relaxed structure of Zr3Al2Ga4.

Geometry as extended XYZ:
```
9
Lattice="5.186 -2.070 0.000 5.186 2.070 0.000 -3.519 0.000 7.588" Properties=species:S:1:pos:R:3 pbc="T T T"
Zr 0.000 0.000 0.000
Zr 2.715 0.000 2.380
Zr 4.137 0.000 5.208
Al 1.140 0.000 5.245
Al 5.713 0.000 2.343
Ga -0.600 0.000 3.097
Ga -0.399 0.000 7.177
Ga 7.251 0.000 0.411
Ga 7.453 0.000 4.491
```

Summary:
Space group: C2/m (12)

---

VASP calculation (GGA-PBE) on a relaxed structure of ZrAlGa6.

Geometry as extended XYZ:
```
8
Lattice="2.991 -4.898 0.000 2.991 4.898 0.000 0.000 0.000 4.918" Properties=species:S:1:pos:R:3 pbc="T T T"
Zr 0.000 0.000 0.000
Al 2.991 0.000 0.000
Ga 1.496 2.449 0.000
Ga 2.991 2.770 2.459
Ga 1.710 0.000 2.459
Ga 1.496 -2.449 0.000
Ga 4.272 0.000 2.459
Ga 2.991 -2.770 2.459
```

Summary:
Space group: Cmmm (65)

---

VASP calculation (GGA-PBE) on a relaxed structure of Zr2AlGa3.

Geometry as extended XYZ:
```
6
Lattice="-2.244 2.806 4.718 2.244 -2.806 4.718 2.244 2.806 -4.718" Properties=species:S:1:pos:R:3 pbc="T T T"
Zr 0.000 0.000 1.724
Zr 0.000 0.000 7.712
Al 0.000 0.000 4.718
Ga 2.244 0.000 0.000
Ga 2.244 0.000 3.301
Ga 0.000 2.806 1.417
```

Summary:
Space group: Immm (71)

---

VASP calculation (GGA-PBE) on a relaxed structure of Zr3AlGa3.

Geometry as extended XYZ:
```
14
Lattice="5.187 -1.995 0.000 5.187 1.995 0.000 -4.353 0.000 12.755" Properties=species:S:1:pos:R:3 pbc="T T T"
Zr -1.517 0.000 4.760
Zr -2.878 0.000 11.796
Zr 1.504 0.000 2.886
Zr 4.517 0.000 9.870
Zr 8.899 0.000 0.959
Zr 7.538 0.000 7.995
Al 0.126 0.000 7.896
Al 5.895 0.000 4.860
Ga 1.859 0.000 5.838
Ga -0.034 0.000 11.798
Ga 1.686 0.000 9.919
Ga 4.335 0.000 2.837
Ga 6.055 0.000 0.958
Ga 4.163 0.000 6.918
```

Summary:
Space group: C2/m (12)

---

VASP calculation (GGA-PBE) on a relaxed structure of ZrAlGa3.

Geometry as extended XYZ:
```
5
Lattice="4.760 0.000 0.000 0.000 4.760 0.000 0.000 0.000 4.760" Properties=species:S:1:pos:R:3 pbc="T T T"
Zr 0.000 0.000 0.000
Al 2.380 2.380 2.380
Ga 0.000 2.380 2.380
Ga 2.380 0.000 2.380
Ga 2.380 2.380 0.000
```

Summary:
Space group: Pm-3m (221)
Energy relative to the lowest polymorph listed for this composition, meV per atom: 599

---

VASP calculation (GGA-PBE) on a relaxed structure of Gd3Al.

Geometry as extended XYZ:
```
4
Lattice="-2.377 2.377 4.876 2.377 -2.377 4.876 2.377 2.377 -4.876" Properties=species:S:1:pos:R:3 pbc="T T T"
Gd 0.000 0.000 0.000
Gd 2.377 0.000 2.438
Gd 0.000 2.377 2.438
Al 0.000 0.000 4.876
```

Summary:
Space group: I4/mmm (139)

---

VASP calculation (GGA-PBE) on a relaxed structure of Gd3Al.

Geometry as extended XYZ:
```
4
Lattice="4.930 0.000 0.000 0.000 4.930 0.000 0.000 0.000 4.930" Properties=species:S:1:pos:R:3 pbc="T T T"
Gd 0.000 0.000 2.465
Gd 0.000 2.465 0.000
Gd 2.465 0.000 0.000
Al 2.465 2.465 2.465
```

Summary:
Space group: Pm-3m (221)

---

VASP calculation (GGA-PBE) on a relaxed structure of GdAl.

Geometry as extended XYZ:
```
2
Lattice="3.630 0.000 0.000 0.000 3.630 0.000 0.000 0.000 3.630" Properties=species:S:1:pos:R:3 pbc="T T T"
Gd 0.000 0.000 0.000
Al 1.815 1.815 1.815
```

Summary:
Space group: Pm-3m (221)

---

VASP calculation (GGA-PBE) on a relaxed structure of GdAl.

Geometry as extended XYZ:
```
4
Lattice="3.752 0.000 0.000 0.000 4.513 0.000 -1.871 0.000 5.919" Properties=species:S:1:pos:R:3 pbc="T T T"
Gd -0.001 1.128 1.842
Gd 1.881 3.385 4.077
Al 0.005 1.128 5.142
Al 1.875 3.385 0.777
```

Summary:
Space group: P2_1/m (11)

---

| no. | energy of formation from the pure elements (eV/atom) | total DFT energy (no corrections) (eV/atom) |
| --- | --- | --- |
| 1 | -0.560 | -5.94 |
| 2 | -0.492 | -6.19 |
| 3 | -0.541 | -5.77 |
| 4 | -0.049 | -4.22 |
| 5 | -0.417 | -6.98 |
| 6 | 0.681 | -3.59 |
| 7 | -0.248 | -7.04 |
| 8 | -0.475 | -6.38 |
| 9 | -0.122 | -4.40 |
| 10 | -0.586 | -5.96 |
| 11 | 0.581 | -3.98 |
| 12 | -0.476 | -5.50 |
| 13 | -0.172 | -3.98 |
| 14 | -0.160 | -5.15 |
| 15 | -0.597 | -6.09 |
| 16 | 0.477 | -3.80 |
| 17 | -0.178 | -11.67 |
| 18 | 0.556 | -10.94 |
| 19 | -0.395 | -9.31 |
| 20 | -0.400 | -9.31 |